# YCr2Ir GGA-PBE relaxed
data_YCr2Ir
_cell_length_a 5.966
_cell_length_b 5.966
_cell_length_c 5.966
_cell_angle_alpha 103.09
_cell_angle_beta 103.09
_cell_angle_gamma 123.17
_symmetry_space_group_name_H-M 'P 1'
_symmetry_Int_Tables_number 1
_symmetry_space_group_name_Hall 'P 1'
loop_
_atom_site_label
_atom_site_fract_x
_atom_site_fract_y
_atom_site_fract_z
Y1 0.000 0.000 0.000
Y2 0.750 0.250 0.500
Cr1 0.190 0.125 0.565
Cr2 0.375 0.810 0.935
Cr3 0.560 0.625 0.435
Cr4 0.875 0.440 0.065
Ir1 0.250 0.750 0.500
Ir2 0.500 0.500 0.000
# **Symmetry**: I-42d (122)
# **Energy above the lowest structure with this stoichiometry**: 359 meV/atom
# **Formation energy**: 444.4 meV/atom

=====

# AcPmEr2Se4 GGA-PBE relaxed
data_AcPmEr2Se4
_cell_length_a 7.102
_cell_length_b 4.083
_cell_length_c 7.546
_cell_angle_alpha 90.00
_cell_angle_beta 108.20
_cell_angle_gamma 90.00
_symmetry_space_group_name_H-M 'P 1'
_symmetry_Int_Tables_number 1
_symmetry_space_group_name_Hall 'P 1'
loop_
_atom_site_label
_atom_site_fract_x
_atom_site_fract_y
_atom_site_fract_z
Ac1 0.000 0.000 0.000
Pm1 0.500 0.500 0.000
Er1 0.000 0.500 0.500
Er2 0.500 0.000 0.500
Se1 0.248 0.000 0.727
Se2 0.266 0.500 0.278
Se3 0.734 0.500 0.722
Se4 0.752 0.000 0.273
# **E_form (uncorrected)**: -1.76 eV/atom
# **Symmetry**: P2/m (10)

=====

# Tb3As2IrRh9 GGA-PBE relaxed
data_Tb3As2IrRh9
_cell_length_a 5.557
_cell_length_b 5.557
_cell_length_c 11.201
_cell_angle_alpha 90.00
_cell_angle_beta 90.00
_cell_angle_gamma 120.00
_symmetry_space_group_name_H-M 'P 1'
_symmetry_Int_Tables_number 1
_symmetry_space_group_name_Hall 'P 1'
loop_
_atom_site_label
_atom_site_fract_x
_atom_site_fract_y
_atom_site_fract_z
Tb1 0.000 0.000 0.000
Tb2 0.333 0.667 0.572
Tb3 0.667 0.333 0.428
As1 0.333 0.667 0.161
As2 0.667 0.333 0.839
Ir1 0.000 0.000 0.500
Rh1 0.000 0.500 0.000
Rh2 0.168 0.336 0.325
Rh3 0.168 0.832 0.325
Rh4 0.336 0.168 0.675
Rh5 0.500 0.000 0.000
Rh6 0.500 0.500 0.000
Rh7 0.664 0.832 0.325
Rh8 0.832 0.168 0.675
Rh9 0.832 0.664 0.675
# **Symmetry**: P-3m1 (164)
# **Formation energy**: -318.3 meV/atom

=====

# Be2TcSn GGA-PBE relaxed
data_Be2TcSn
_cell_length_a 5.418
_cell_length_b 5.418
_cell_length_c 5.418
_cell_angle_alpha 103.88
_cell_angle_beta 103.88
_cell_angle_gamma 121.35
_symmetry_space_group_name_H-M 'P 1'
_symmetry_Int_Tables_number 1
_symmetry_space_group_name_Hall 'P 1'
loop_
_atom_site_label
_atom_site_fract_x
_atom_site_fract_y
_atom_site_fract_z
Be1 0.096 0.625 0.971
Be2 0.375 0.346 0.471
Be3 0.654 0.125 0.029
Be4 0.875 0.904 0.529
Tc1 0.000 0.000 0.000
Tc2 0.750 0.250 0.500
Sn1 0.250 0.750 0.500
Sn2 0.500 0.500 0.000
# **Symmetry**: I-42d (122)
# **Formation energy**: 619.8 meV/atom

=====

# LaNdTe2O GGA-PBE relaxed
data_LaNdTe2O
_cell_length_a 4.313
_cell_length_b 4.313
_cell_length_c 16.202
_cell_angle_alpha 90.00
_cell_angle_beta 90.00
_cell_angle_gamma 90.00
_symmetry_space_group_name_H-M 'P 1'
_symmetry_Int_Tables_number 1
_symmetry_space_group_name_Hall 'P 1'
loop_
_atom_site_label
_atom_site_fract_x
_atom_site_fract_y
_atom_site_fract_z
La1 0.250 0.250 0.069
La2 0.750 0.750 0.931
Nd1 0.250 0.250 0.633
Nd2 0.750 0.750 0.367
Te1 0.250 0.250 0.416
Te2 0.250 0.250 0.815
Te3 0.750 0.750 0.185
Te4 0.750 0.750 0.584
O1 0.250 0.750 0.000
O2 0.750 0.250 0.000
# **E_form (uncorrected)**: -2.15 eV/atom
# **Symmetry**: P4/nmm (129)

=====

# Y2NiMo GGA-PBE relaxed
data_Y2NiMo
_cell_length_a 3.450
_cell_length_b 3.450
_cell_length_c 7.011
_cell_angle_alpha 90.00
_cell_angle_beta 90.00
_cell_angle_gamma 90.00
_symmetry_space_group_name_H-M 'P 1'
_symmetry_Int_Tables_number 1
_symmetry_space_group_name_Hall 'P 1'
loop_
_atom_site_label
_atom_site_fract_x
_atom_site_fract_y
_atom_site_fract_z
Y1 0.000 0.000 0.238
Y2 0.000 0.000 0.762
Ni1 0.500 0.500 0.000
Mo1 0.500 0.500 0.500
# **Symmetry**: P4/mmm (123)
# **Energy above the lowest structure with this stoichiometry**: 86 meV/atom
# **Formation energy**: 120.1 meV/atom

=====

Number 1: E_tot -8.20 eV/atom, M_tot 10.1 μB per cell. Number 2: E_tot -5.75 eV/atom, M_tot 0.0 μB per cell. Number 3: E_tot -6.87 eV/atom, M_tot 0.0 μB per cell. Number 4: E_tot -4.84 eV/atom, M_tot 2.0 μB per cell. Number 5: E_tot -6.33 eV/atom, M_tot 0.0 μB per cell. Number 6: E_tot -7.27 eV/atom, M_tot 1.5 μB per cell.